## YMn2AlGa (GGA-PBE)

Data for crystalline YMn2AlGa at its relaxed geometry.

Structure (POSCAR):
```
YMn2AlGa
1.0
-4.283 -0.995 1.909
0.448 -4.531 -1.356
2.104 -1.043 4.179
Ga Mn Al Y
1 2 1 1
Cartesian
0.224 -2.266 -0.678
-2.141 -0.498 0.954
1.052 -0.521 2.089
0.000 0.000 0.000
-0.865 -3.284 2.365
```

- Calculated formation energy: 0.44 eV per atom
- Crystal system: tetragonal
- Mass density: 4.50 g/cm3